# MnIr3

An optimized crystal structure of MnIr3 (PBE, Alexandria). Values from VASP.

Formation enthalpy at 0 K (eV per formula unit): -0.5
SG: Cmmm (65)

Quantum ESPRESSO input file:
```
&SYSTEM
  ibrav = 0, nat = 8, ntyp = 2
/
ATOMIC_SPECIES
Mn 54.94 Mn.upf
Ir 192.22 Ir.upf
ATOMIC_POSITIONS crystal
Mn 0.000 0.000 0.000
Mn 0.500 0.500 0.000
Ir 0.000 0.500 0.000
Ir 0.250 0.250 0.500
Ir 0.250 0.750 0.500
Ir 0.500 0.000 0.000
Ir 0.750 0.250 0.500
Ir 0.750 0.750 0.500
CELL_PARAMETERS angstrom
5.422 0.000 0.000
0.000 7.590 0.000
0.000 0.000 2.746
```

# MnIr

An optimized crystal structure of MnIr (PBE, Alexandria). Values from VASP.

Formation enthalpy at 0 K (eV per formula unit): 0.0
SG: P2_12_12_1 (19)

Quantum ESPRESSO input file:
```
&SYSTEM
  ibrav = 0, nat = 16, ntyp = 2
/
ATOMIC_SPECIES
Mn 54.94 Mn.upf
Ir 192.22 Ir.upf
ATOMIC_POSITIONS crystal
Mn 0.244 0.134 0.236
Mn 0.247 0.510 0.667
Mn 0.253 0.490 0.167
Mn 0.256 0.866 0.736
Mn 0.744 0.366 0.764
Mn 0.747 0.990 0.333
Mn 0.753 0.010 0.833
Mn 0.756 0.634 0.264
Ir 0.087 0.159 0.559
Ir 0.241 0.783 0.400
Ir 0.259 0.217 0.900
Ir 0.413 0.841 0.059
Ir 0.587 0.341 0.441
Ir 0.741 0.717 0.600
Ir 0.759 0.283 0.100
Ir 0.913 0.659 0.941
CELL_PARAMETERS angstrom
4.433 0.000 0.000
0.000 6.671 0.000
0.000 0.000 7.626
```